Entry from OQMD: TbNbAg2O4 after structural relaxation (GGA-PBE).

total energy	-6.726	eV per atom
total moment	1.932	μB per formula unit

Cell: 3.425 3.425 12.468 Å, 90.00 90.00 120.00°
Site moments in Bohr magnetons follow the coordinates.
Fractional coordinates of all 8 atoms:
Ag: 0.333 0.667 0.244  0.04
Ag: 0.667 0.333 0.756  0.04
Nb: 0.000 0.000 0.000  1.47
O: 0.333 0.667 0.073  0.02
O: 0.333 0.667 0.411  0.01
O: 0.667 0.333 0.589  0.01
O: 0.667 0.333 0.927  0.02
Tb: 0.000 0.000 0.500  0.01


Entry from OQMD: TmCuSnSe2S after structural relaxation (GGA-PBE).

total energy	-4.859	eV per atom
total moment	0.002	μB per formula unit

Cell: 7.008 7.008 10.040 Å, 90.00 90.00 147.40°
Fractional coordinates of all 12 atoms:
Cu: 0.975 0.025 0.250
Cu: 0.025 0.975 0.750
S: 0.574 0.426 0.250
S: 0.426 0.574 0.750
Se: 0.856 0.144 0.063
Se: 0.856 0.144 0.437
Se: 0.144 0.856 0.563
Se: 0.144 0.856 0.937
Sn: 0.245 0.755 0.250
Sn: 0.755 0.245 0.750
Tm: 0.500 0.500 0.000
Tm: 0.500 0.500 0.500


Entry from OQMD: Dy3Sb2N after structural relaxation (GGA-PBE).

total energy	-6.106	eV per atom
total moment	0.000	μB per formula unit

Cell: 3.914 3.914 10.667 Å, 90.00 90.00 120.00°
Fractional coordinates of all 6 atoms:
Dy: 0.333 0.667 0.120
Dy: 0.000 0.000 0.500
Dy: 0.667 0.333 0.880
N: 0.000 0.000 0.000
Sb: 0.667 0.333 0.313
Sb: 0.333 0.667 0.687


Entry from OQMD: NdYNi4 after structural relaxation (GGA-PBE).

calculated formation energy	0.53	eV/f.u.
relative energy among the computed polymorphs	0.453	eV per atom
total moment	0.901	μB per formula unit

Cell: 5.404 5.404 8.205 Å, 90.00 90.00 120.00°
Site moments in Bohr magnetons follow the coordinates.
Fractional coordinates of all 12 atoms:
Nd: 0.667 0.333 0.000  0.02
Nd: 0.333 0.667 0.000  0.02
Ni: 0.500 0.000 0.283  0.17
Ni: 0.000 0.500 0.283  0.16
Ni: 0.500 0.500 0.283  0.18
Ni: 0.667 0.333 0.500  0.38
Ni: 0.333 0.667 0.500  0.38
Ni: 0.500 0.000 0.717  0.17
Ni: 0.000 0.500 0.717  0.16
Ni: 0.500 0.500 0.717  0.18
Y: 0.000 0.000 0.000  0.04
Y: 0.000 0.000 0.500  -0.03


Entry from OQMD: SrHf2Ni after structural relaxation (GGA-PBE).

total energy	-6.109	eV per atom
total moment	1.831	μB per formula unit

Cell: 5.017 5.017 5.017 Å, 60.00 60.00 60.00°
Fractional coordinates of all 4 atoms:
Hf: 0.000 0.000 0.000
Hf: 0.750 0.750 0.750
Ni: 0.250 0.250 0.250
Sr: 0.500 0.500 0.500


Entry from OQMD: Zr2AlInAg2Pd2 after structural relaxation (GGA-PBE).

total energy	-5.412	eV per atom
total moment	0.001	μB per formula unit

Cell: 4.668 4.668 6.640 Å, 90.00 90.00 90.00°
Fractional coordinates of all 8 atoms:
Ag: 0.500 0.000 0.239
Ag: 0.000 0.500 0.761
Al: 0.000 0.000 0.000
In: 0.500 0.500 0.500
Pd: 0.000 0.500 0.232
Pd: 0.500 0.000 0.768
Zr: 0.500 0.500 0.000
Zr: 0.000 0.000 0.500


Entry from OQMD: RbBi5Mo3 after structural relaxation (GGA-PBE).

total energy	-5.790	eV per atom
total moment	0.006	μB per formula unit

Cell: 5.721 5.721 9.162 Å, 90.00 90.00 120.00°
Fractional coordinates of all 9 atoms:
Bi: 0.667 0.333 0.232
Bi: 0.333 0.667 0.232
Bi: 0.000 0.000 0.500
Bi: 0.667 0.333 0.768
Bi: 0.333 0.667 0.768
Mo: 0.500 0.000 0.500
Mo: 0.000 0.500 0.500
Mo: 0.500 0.500 0.500
Rb: 0.000 0.000 0.000


Entry from OQMD: BeTlReTe after structural relaxation (GGA-PBE).

relative energy among the computed polymorphs	0.000	eV per atom
total moment	0.140	μB per formula unit

Cell: 4.713 4.713 4.713 Å, 60.00 60.00 60.00°
Fractional coordinates of all 4 atoms:
Be: 0.750 0.750 0.750
Re: 0.250 0.250 0.250
Te: 0.000 0.000 0.000
Tl: 0.500 0.500 0.500


Entry from OQMD: YEr2Al3Si2Ir after structural relaxation (GGA-PBE).

total energy	-6.040	eV per atom
total moment	0.000	μB per formula unit

Cell: 4.206 6.883 6.883 Å, 120.09 90.00 90.00°
Fractional coordinates of all 9 atoms:
Al: 0.500 0.999 0.234
Al: 0.500 0.767 0.767
Al: 0.500 0.234 0.999
Er: 0.000 0.584 0.001
Er: 0.000 0.001 0.584
Ir: 0.000 0.997 0.997
Si: 0.500 0.668 0.333
Si: 0.500 0.333 0.668
Y: 0.000 0.418 0.418


Entry from OQMD: BaMgNp after structural relaxation (GGA-PBE).

relative energy among the computed polymorphs	0.275	eV per atom
total moment	5.108	μB per formula unit

Cell: 5.416 5.416 5.416 Å, 60.00 60.00 60.00°
Fractional coordinates of all 3 atoms:
Ba: 0.000 0.000 0.000
Mg: 0.250 0.250 0.250
Np: 0.750 0.750 0.750


Entry from OQMD: NaPrBe after structural relaxation (GGA-PBE).

relative energy among the computed polymorphs	0.000	eV per atom
total moment	0.044	μB per formula unit

Cell: 4.837 4.837 4.837 Å, 60.00 60.00 60.00°
Fractional coordinates of all 3 atoms:
Be: 0.000 0.000 0.000
Na: 0.250 0.250 0.250
Pr: 0.750 0.750 0.750


Entry from OQMD: Sr2CdH6Pd after structural relaxation (GGA-PBE).

total energy	-3.282	eV per atom

Cell: 5.593 5.593 5.593 Å, 60.00 60.00 60.00°
Fractional coordinates of all 10 atoms:
Cd: 0.000 0.000 0.000
H: 0.733 0.267 0.267
H: 0.267 0.733 0.267
H: 0.733 0.733 0.267
H: 0.267 0.267 0.733
H: 0.733 0.267 0.733
H: 0.267 0.733 0.733
Pd: 0.500 0.500 0.500
Sr: 0.250 0.250 0.250
Sr: 0.750 0.750 0.750


Entry from OQMD: SmDyB2Pt2N2 after structural relaxation (GGA-PBE).

total energy	-7.565	eV per atom
total moment	0.001	μB per formula unit

Cell: 3.757 3.757 7.633 Å, 90.00 90.00 90.00°
Fractional coordinates of all 8 atoms:
B: 0.000 0.000 0.329
B: 0.500 0.500 0.669
Dy: 0.000 0.000 0.838
N: 0.000 0.000 0.140
N: 0.500 0.500 0.857
Pt: 0.500 0.000 0.502
Pt: 0.000 0.500 0.502
Sm: 0.500 0.500 0.163


Entry from OQMD: Te2WSeSBr after structural relaxation (GGA-PBE).

relative energy among the computed polymorphs	0.000	eV per atom
total moment	0.002	μB per formula unit

Cell: 6.493 7.593 8.880 Å, 108.87 111.22 98.11°
Fractional coordinates of all 12 atoms:
Br: 0.702 0.851 0.450
Br: 0.298 0.149 0.550
S: 0.559 0.252 0.035
S: 0.441 0.748 0.965
Se: 0.129 0.308 0.159
Se: 0.871 0.692 0.841
Te: 0.069 0.843 0.193
Te: 0.670 0.167 0.289
Te: 0.330 0.833 0.711
Te: 0.931 0.157 0.807
W: 0.224 0.000 0.000
W: 0.776 0.000 0.000


Entry from OQMD: Y2HoAl3Ni3 after structural relaxation (GGA-PBE).

total energy	-5.659	eV per atom
total moment	0.012	μB per formula unit

Cell: 3.886 6.947 6.947 Å, 119.82 90.00 90.00°
Fractional coordinates of all 9 atoms:
Al: 0.500 0.236 0.000
Al: 0.500 0.000 0.236
Al: 0.500 0.764 0.764
Ho: 0.000 0.416 0.416
Ni: 0.000 0.002 0.002
Ni: 0.500 0.664 0.334
Ni: 0.500 0.334 0.664
Y: 0.000 0.584 0.000
Y: 0.000 0.000 0.584


Entry from OQMD: LiHoCuS3 after structural relaxation (GGA-PBE).

relative energy among the computed polymorphs	0.048	eV per atom
total moment	0.044	μB per formula unit

Cell: 6.333 6.333 10.308 Å, 90.00 90.00 145.61°
Fractional coordinates of all 12 atoms:
Cu: 0.019 0.981 0.250
Cu: 0.981 0.019 0.750
Ho: 0.500 0.500 0.000
Ho: 0.500 0.500 0.500
Li: 0.729 0.271 0.250
Li: 0.271 0.729 0.750
S: 0.143 0.857 0.083
S: 0.408 0.592 0.250
S: 0.143 0.857 0.417
S: 0.857 0.143 0.583
S: 0.592 0.408 0.750
S: 0.857 0.143 0.917


Entry from OQMD: TmTlAgTe3 after structural relaxation (GGA-PBE).

total energy	-3.842	eV per atom
total moment	0.003	μB per formula unit

Cell: 8.048 8.048 11.315 Å, 90.00 90.00 149.78°
Fractional coordinates of all 12 atoms:
Ag: 0.962 0.038 0.250
Ag: 0.038 0.962 0.750
Te: 0.861 0.139 0.045
Te: 0.582 0.418 0.250
Te: 0.861 0.139 0.455
Te: 0.139 0.861 0.545
Te: 0.418 0.582 0.750
Te: 0.139 0.861 0.955
Tl: 0.263 0.737 0.250
Tl: 0.737 0.263 0.750
Tm: 0.500 0.500 0.000
Tm: 0.500 0.500 0.500


Entry from OQMD: SrYAuS3 after structural relaxation (GGA-PBE).

relative energy among the computed polymorphs	0.000	eV per atom
total moment	0.002	μB per formula unit

Cell: 7.809 4.000 9.451 Å, 90.00 105.48 90.00°
Fractional coordinates of all 12 atoms:
Au: 0.621 0.250 0.087
Au: 0.379 0.750 0.913
S: 0.799 0.750 0.038
S: 0.568 0.250 0.341
S: 0.067 0.250 0.361
S: 0.933 0.750 0.639
S: 0.432 0.750 0.659
S: 0.201 0.250 0.962
Sr: 0.263 0.750 0.225
Sr: 0.737 0.250 0.775
Y: 0.813 0.750 0.339
Y: 0.187 0.250 0.661


Entry from OQMD: NaCuTe2MoS after structural relaxation (GGA-PBE).

total energy	-4.669	eV per atom
total moment	1.984	μB per formula unit

Cell: 7.584 7.584 9.898 Å, 90.00 90.00 151.88°
Site moments in Bohr magnetons follow the coordinates.
Fractional coordinates of all 12 atoms:
Cu: 0.029 0.971 0.250  0.05
Cu: 0.971 0.029 0.750  0.05
Mo: 0.500 0.500 0.000  1.59
Mo: 0.500 0.500 0.500  1.60
Na: 0.776 0.224 0.250  0.01
Na: 0.224 0.776 0.750  0.01
S: 0.440 0.560 0.250  -0.01
S: 0.560 0.440 0.750  -0.01
Te: 0.140 0.860 0.047  0.01
Te: 0.140 0.860 0.453  0.01
Te: 0.860 0.140 0.547  0.01
Te: 0.860 0.140 0.953  0.01


Entry from OQMD: NaHg3Te4Pb after structural relaxation (GGA-PBE).

total energy	-2.233	eV per atom

Cell: 7.090 7.090 7.090 Å, 90.00 90.00 90.00°
Fractional coordinates of all 9 atoms:
Hg: 0.500 0.500 0.000
Hg: 0.500 0.000 0.500
Hg: 0.000 0.500 0.500
Na: 0.000 0.000 0.000
Pb: 0.500 0.500 0.500
Te: 0.250 0.250 0.250
Te: 0.750 0.750 0.250
Te: 0.750 0.250 0.750
Te: 0.250 0.750 0.750


Entry from OQMD: Ba2Tl7Au after structural relaxation (GGA-PBE).

total energy	-2.650	eV per atom

Cell: 22.078 5.235 10.579 Å, 90.00 90.00 90.00°
Fractional coordinates of all 40 atoms:
Au: 0.174 0.250 0.241
Au: 0.674 0.250 0.259
Au: 0.326 0.750 0.741
Au: 0.826 0.750 0.759
Ba: 0.211 0.750 0.004
Ba: 0.041 0.750 0.250
Ba: 0.541 0.750 0.250
Ba: 0.711 0.750 0.496
Ba: 0.289 0.250 0.504
Ba: 0.459 0.250 0.750
Ba: 0.959 0.250 0.750
Ba: 0.789 0.250 0.996
Tl: 0.603 0.250 0.025
Tl: 0.089 0.250 0.040
Tl: 0.451 0.250 0.098
Tl: 0.946 0.250 0.105
Tl: 0.300 0.250 0.147
Tl: 0.704 0.750 0.151
Tl: 0.853 0.750 0.233
Tl: 0.353 0.750 0.267
Tl: 0.204 0.750 0.349
Tl: 0.800 0.250 0.353
Tl: 0.446 0.250 0.395
Tl: 0.951 0.250 0.402
Tl: 0.589 0.250 0.460
Tl: 0.103 0.250 0.475
Tl: 0.897 0.750 0.525
Tl: 0.411 0.750 0.540
Tl: 0.049 0.750 0.598
Tl: 0.554 0.750 0.605
Tl: 0.200 0.750 0.647
Tl: 0.796 0.250 0.651
Tl: 0.647 0.250 0.733
Tl: 0.147 0.250 0.767
Tl: 0.296 0.250 0.849
Tl: 0.700 0.750 0.853
Tl: 0.054 0.750 0.895
Tl: 0.549 0.750 0.902
Tl: 0.911 0.750 0.960
Tl: 0.397 0.750 0.975


Entry from OQMD: LiTm after structural relaxation (GGA-PBE).

relative energy among the computed polymorphs	0.000	eV per atom
total moment	0.050	μB per formula unit

Cell: 3.622 3.622 3.622 Å, 90.00 90.00 90.00°
Fractional coordinates of all 2 atoms:
Li: 0.000 0.000 0.000
Tm: 0.500 0.500 0.500